(1)
# TbNd2Sm3Se6 GGA-PBE relaxed
# Spin magnetization = 0.00 Bohr magnetons per cell
# Volume = 25.81 A^3/atom
data_TbNd2Sm3Se6
_space_group_name_H-M_alt 'P 1'
_space_group_IT_number 1
_cell_length_a 7.2472
_cell_length_b 7.2472
_cell_length_c 7.2402
_cell_angle_alpha 99.56
_cell_angle_beta 99.56
_cell_angle_gamma 120.24
loop_
_space_group_symop_operation_xyz
'x,y,z'
loop_
_atom_site_label
_atom_site_fract_x
_atom_site_fract_y
_atom_site_fract_z
Tb1 0.0000 0.0000 0.0000
Nd1 0.3328 0.6672 0.0000
Nd2 0.6672 0.3328 0.0000
Sm1 0.1715 0.8285 0.5000
Sm2 0.5000 0.5000 0.5000
Sm3 0.8285 0.1715 0.5000
Se1 0.0832 0.4086 0.2496
Se2 0.2410 0.2410 0.7465
Se3 0.4086 0.0832 0.2496
Se4 0.5914 0.9168 0.7504
Se5 0.7590 0.7590 0.2535
Se6 0.9168 0.5914 0.7504

---

(2)
# Tb2NdSm3Se6 GGA-PBE relaxed
# Spin magnetization = 0.00 Bohr magnetons per cell
# Volume = 25.39 A^3/atom
data_Tb2NdSm3Se6
_space_group_name_H-M_alt 'P 1'
_space_group_IT_number 1
_cell_length_a 7.2047
_cell_length_b 7.2047
_cell_length_c 7.2066
_cell_angle_alpha 99.55
_cell_angle_beta 99.55
_cell_angle_gamma 120.25
loop_
_space_group_symop_operation_xyz
'x,y,z'
loop_
_atom_site_label
_atom_site_fract_x
_atom_site_fract_y
_atom_site_fract_z
Tb1 0.1659 0.8341 0.0000
Tb2 0.8341 0.1659 0.0000
Nd1 0.5000 0.5000 0.0000
Sm1 0.0000 0.0000 0.5000
Sm2 0.3385 0.6615 0.5000
Sm3 0.6615 0.3385 0.5000
Se1 0.0760 0.4176 0.7518
Se2 0.2402 0.2402 0.2442
Se3 0.4176 0.0760 0.7518
Se4 0.5824 0.9240 0.2482
Se5 0.7598 0.7598 0.7558
Se6 0.9240 0.5824 0.2482

---

(3)
# Tb3NdSm2Se6 GGA-PBE relaxed
# Spin magnetization = 0.00 Bohr magnetons per cell
# Volume = 25.14 A^3/atom
data_Tb3NdSm2Se6
_space_group_name_H-M_alt 'P 1'
_space_group_IT_number 1
_cell_length_a 7.1635
_cell_length_b 7.1635
_cell_length_c 7.2177
_cell_angle_alpha 99.49
_cell_angle_beta 99.49
_cell_angle_gamma 120.29
loop_
_space_group_symop_operation_xyz
'x,y,z'
loop_
_atom_site_label
_atom_site_fract_x
_atom_site_fract_y
_atom_site_fract_z
Tb1 0.0000 0.0000 0.0000
Tb2 0.3352 0.6648 0.0000
Tb3 0.6648 0.3352 0.0000
Nd1 0.5000 0.5000 0.5000
Sm1 0.1663 0.8337 0.5000
Sm2 0.8337 0.1663 0.5000
Se1 0.0770 0.4136 0.2407
Se2 0.2497 0.2497 0.7579
Se3 0.4136 0.0770 0.2407
Se4 0.5864 0.9230 0.7593
Se5 0.7503 0.7503 0.2421
Se6 0.9230 0.5864 0.7593

---

(4)
# TbNd2SmSe4 GGA-PBE relaxed
# Spin magnetization = 0.00 Bohr magnetons per cell
# Volume = 25.88 A^3/atom
data_TbNd2SmSe4
_space_group_name_H-M_alt 'P 1'
_space_group_IT_number 1
_cell_length_a 7.2388
_cell_length_b 4.1260
_cell_length_c 7.3218
_cell_angle_alpha 90.00
_cell_angle_beta 108.79
_cell_angle_gamma 90.00
loop_
_space_group_symop_operation_xyz
'x,y,z'
loop_
_atom_site_label
_atom_site_fract_x
_atom_site_fract_y
_atom_site_fract_z
Tb1 0.0000 0.0000 0.0000
Nd1 0.0000 0.5000 0.5000
Nd2 0.5000 0.0000 0.5000
Sm1 0.5000 0.5000 0.0000
Se1 0.2432 0.5000 0.2399
Se2 0.2492 0.0000 0.7578
Se3 0.7508 0.0000 0.2422
Se4 0.7568 0.5000 0.7601

---

(5)
# TbNd4Sm3Se8 GGA-PBE relaxed
# Spin magnetization = 0.00 Bohr magnetons per cell
# Volume = 26.08 A^3/atom
data_TbNd4Sm3Se8
_space_group_name_H-M_alt 'P 1'
_space_group_IT_number 1
_cell_length_a 8.4042
_cell_length_b 8.4042
_cell_length_c 8.4042
_cell_angle_alpha 59.74
_cell_angle_beta 59.74
_cell_angle_gamma 59.74
loop_
_space_group_symop_operation_xyz
'x,y,z'
loop_
_atom_site_label
_atom_site_fract_x
_atom_site_fract_y
_atom_site_fract_z
Tb1 0.0000 0.0000 0.0000
Nd1 0.0000 0.0000 0.5000
Nd2 0.0000 0.5000 0.0000
Nd3 0.5000 0.0000 0.0000
Nd4 0.5000 0.5000 0.5000
Sm1 0.0000 0.5000 0.5000
Sm2 0.5000 0.0000 0.5000
Sm3 0.5000 0.5000 0.0000
Se1 0.2454 0.2454 0.7509
Se2 0.2454 0.7509 0.2454
Se3 0.2491 0.7546 0.7546
Se4 0.2518 0.2518 0.2518
Se5 0.7482 0.7482 0.7482
Se6 0.7509 0.2454 0.2454
Se7 0.7546 0.2491 0.7546
Se8 0.7546 0.7546 0.2491

---

(6)
# Tb2NdSmSe4 GGA-PBE relaxed
# Spin magnetization = 0.00 Bohr magnetons per cell
# Volume = 25.25 A^3/atom
data_Tb2NdSmSe4
_space_group_name_H-M_alt 'P 1'
_space_group_IT_number 1
_cell_length_a 7.1550
_cell_length_b 4.0911
_cell_length_c 7.2889
_cell_angle_alpha 90.00
_cell_angle_beta 108.77
_cell_angle_gamma 90.00
loop_
_space_group_symop_operation_xyz
'x,y,z'
loop_
_atom_site_label
_atom_site_fract_x
_atom_site_fract_y
_atom_site_fract_z
Tb1 0.0000 0.0000 0.0000
Tb2 0.5000 0.5000 0.0000
Nd1 0.0000 0.5000 0.5000
Sm1 0.5000 0.0000 0.5000
Se1 0.2490 0.5000 0.2409
Se2 0.2558 0.0000 0.7608
Se3 0.7442 0.0000 0.2392
Se4 0.7510 0.5000 0.7591

---

(7)
# Tb4NdSmSe8 GGA-PBE relaxed
# Spin magnetization = 0.00 Bohr magnetons per cell
# Volume = 31.25 A^3/atom
data_Tb4NdSmSe8
_space_group_name_H-M_alt 'P 1'
_space_group_IT_number 1
_cell_length_a 8.5368
_cell_length_b 8.5368
_cell_length_c 8.5368
_cell_angle_alpha 59.75
_cell_angle_beta 59.75
_cell_angle_gamma 59.75
loop_
_space_group_symop_operation_xyz
'x,y,z'
loop_
_atom_site_label
_atom_site_fract_x
_atom_site_fract_y
_atom_site_fract_z
Tb1 0.0000 0.0000 0.0000
Tb2 0.3736 0.3736 0.8765
Tb3 0.3736 0.8765 0.3736
Tb4 0.8765 0.3736 0.3736
Nd1 0.7483 0.7483 0.7483
Sm1 0.3736 0.3736 0.3736
Se1 0.1281 0.1281 0.6050
Se2 0.1281 0.6050 0.1281
Se3 0.1319 0.1319 0.1319
Se4 0.1533 0.6173 0.6173
Se5 0.6050 0.1281 0.1281
Se6 0.6132 0.6132 0.6132
Se7 0.6173 0.1533 0.6173
Se8 0.6173 0.6173 0.1533

---

(8)
# TbNd4SmSe8 GGA-PBE relaxed
# Spin magnetization = 0.00 Bohr magnetons per cell
# Volume = 32.68 A^3/atom
data_TbNd4SmSe8
_space_group_name_H-M_alt 'P 1'
_space_group_IT_number 1
_cell_length_a 8.6437
_cell_length_b 8.6437
_cell_length_c 8.6437
_cell_angle_alpha 60.09
_cell_angle_beta 60.09
_cell_angle_gamma 60.09
loop_
_space_group_symop_operation_xyz
'x,y,z'
loop_
_atom_site_label
_atom_site_fract_x
_atom_site_fract_y
_atom_site_fract_z
Tb1 0.0000 0.0000 0.0000
Nd1 0.1213 0.6259 0.6259
Nd2 0.2492 0.2492 0.2492
Nd3 0.6259 0.1213 0.6259
Nd4 0.6259 0.6259 0.1213
Sm1 0.6259 0.6259 0.6259
Se1 0.3824 0.3824 0.3824
Se2 0.3851 0.3851 0.8491
Se3 0.3851 0.8491 0.3851
Se4 0.3894 0.8679 0.8679
Se5 0.8491 0.3851 0.3851
Se6 0.8679 0.3894 0.8679
Se7 0.8679 0.8679 0.3894
Se8 0.8705 0.8705 0.8705

---

Energy relative to the elements, uncorrected in eV per atom, matching the order above: -1.819 -1.808 -1.802 -1.816 -1.818 -1.801 -1.723 -1.726